1.
Below is a geometry-optimized Sr11Al4Sn3 structure, with properties calculated at the GGA-PBE level.

Properties
Its volume is 36.62 Å³ per atom. Its space group is Fm-3m (225). The spin magnetization comes out at 0.95 μB/cell. As for the formation energy: -0.407 eV/atom. The theoretical density comes out at 3.60 g/cm³.

```
Sr11Al4Sn3
1.0
12.307 0.000 0.000
6.154 10.658 0.000
6.154 3.553 10.049
Sr Sn Al
22 6 8
direct
0.500 0.500 0.166
0.500 0.166 0.834
0.612 0.129 0.129
0.500 0.834 0.500
0.871 0.388 0.871
0.500 0.166 0.500
0.000 0.000 0.000
0.500 0.500 0.834
0.500 0.500 0.500
0.871 0.871 0.871
0.388 0.871 0.871
0.129 0.129 0.612
0.871 0.871 0.388
0.834 0.500 0.166
0.129 0.129 0.129
0.834 0.500 0.500
0.166 0.500 0.834
0.129 0.612 0.129
0.834 0.166 0.500
0.500 0.834 0.166
0.166 0.500 0.500
0.166 0.834 0.500
0.217 0.217 0.783
0.783 0.217 0.217
0.217 0.783 0.783
0.783 0.783 0.217
0.217 0.783 0.217
0.783 0.217 0.783
0.695 0.916 0.695
0.916 0.695 0.695
0.305 0.084 0.305
0.695 0.695 0.695
0.084 0.305 0.305
0.305 0.305 0.305
0.695 0.695 0.916
0.305 0.305 0.084
```


2.
Below is a geometry-optimized Pr6ErTh2 structure, with properties calculated at the GGA-PBE level.

Properties
Its volume is 34.73 Å³ per atom. Its space group is C2/m (12). The spin magnetization comes out at 0.00 μB/cell. As for the formation energy: 0.125 eV/atom. The theoretical density comes out at 7.84 g/cm³.

```
Pr6ErTh2
1.0
3.467 0.000 0.633
1.517 8.780 1.502
-0.086 0.184 10.281
Pr Er Th
6 1 2
direct
0.382 0.680 0.556
0.958 0.327 0.757
0.773 0.343 0.112
0.042 0.673 0.243
0.227 0.657 0.888
0.618 0.320 0.444
0.000 0.000 0.000
0.328 0.013 0.331
0.672 0.987 0.669
```


3.
Below is a geometry-optimized MnTe2PCl structure, with properties calculated at the GGA-PBE level.

Properties
Its volume is 26.65 Å³ per atom. The formation energy from raw total energies is 0.381 eV per atom. Its space group is P4/mmm (123). The spin magnetization comes out at 4.27 μB/cell. The theoretical density comes out at 4.69 g/cm³.

```
MnTe2PCl
1.0
5.349 0.000 0.000
0.000 4.657 0.000
0.000 0.000 5.349
Mn Cl P Te
1 1 1 2
direct
0.000 0.500 0.000
0.500 0.500 0.500
0.000 0.000 0.000
0.500 0.000 0.000
0.000 0.000 0.500
```


4.
Below is a geometry-optimized VTe2N2 structure, with properties calculated at the GGA-PBE level.

Properties
Its volume is 20.21 Å³ per atom. The formation energy from raw total energies is 1.082 eV per atom. Its space group is P4/mmm (123). Its polymorph energy (0 for the lowest one) is 414 meV/atom. The spin magnetization comes out at 2.02 μB/cell. The theoretical density comes out at 5.49 g/cm³.

```
VTe2N2
1.0
5.307 0.000 0.000
0.000 5.307 0.000
0.000 0.000 3.587
Te N V
2 2 1
direct
0.000 0.500 0.000
0.500 0.000 0.000
0.000 0.000 0.500
0.500 0.500 0.500
0.000 0.000 0.000
```